Entry 1:
The following is a DFT calculation (SCAN) of a PBEsol-optimized structure of Cr2Si3.

Unit cell a=4.4590 b=4.6510 c=7.0039 alpha=81.22 beta=71.44 gamma=61.36
Atoms (fractional coordinates):
Si (0.3817, 0.0000, 0.2365)
Si (0.6183, 0.0000, 0.7635)
Si (0.7500, 0.5000, 0.5000)
Si (0.3683, 0.5000, 0.2635)
Si (0.0000, 0.0000, 0.0000)
Si (0.1317, 0.5000, 0.7365)
Cr (0.1883, 0.0000, 0.6235)
Cr (0.8117, 0.0000, 0.3765)
Cr (0.9383, 0.5000, 0.1235)
Cr (0.5617, 0.5000, 0.8765)


Entry 2:
The following is a DFT calculation (SCAN) of a PBEsol-optimized structure of CrSi.

Unit cell a=2.7272 b=2.7272 c=3.6827 alpha=90.00 beta=90.00 gamma=120.00
Each line ends with the local moment (μB).
Atoms (fractional coordinates):
Cr (0.0000, 0.0000, 0.0000)  1.40
Si (0.3333, 0.6667, 0.5000)  -0.08


Entry 3:
The following is a DFT calculation (SCAN) of a PBEsol-optimized structure of Cr3Si.

Offset from the most stable computed form   46 meV/atom

Unit cell a=2.9531 b=3.9217 c=3.9217 alpha=90.00 beta=90.00 gamma=90.00
Each line ends with the local moment (μB).
Atoms (fractional coordinates):
Cr (0.0000, 0.5000, 0.0000)  1.79
Cr (0.5000, 0.5000, 0.5000)  -1.57
Cr (0.0000, 0.0000, 0.5000)  1.79
Si (0.5000, 0.0000, 0.0000)  -0.07


Entry 4:
The following is a DFT calculation (SCAN) of a PBEsol-optimized structure of CrSi3Sn.

Unit cell a=5.0415 b=5.0415 c=5.0415 alpha=90.00 beta=90.00 gamma=90.00
Each line ends with the local moment (μB).
Atoms (fractional coordinates):
Cr (0.5000, 0.5000, 0.5000)  4.24
Si (0.0000, 0.0000, 0.5000)  -0.03
Si (0.0000, 0.5000, 0.0000)  -0.03
Si (0.5000, 0.0000, 0.0000)  -0.03
Sn (0.0000, 0.0000, 0.0000)  0.02


Entry 5:
The following is a DFT calculation (SCAN) of a PBEsol-optimized structure of CrSi2Sn.

Unit cell a=4.1497 b=4.1497 c=8.7668 alpha=103.69 beta=103.69 gamma=90.00
Each line ends with the local moment (μB).
Atoms (fractional coordinates):
Si (0.1250, 0.2185, 0.7500)  -0.03
Si (0.7815, 0.3750, 0.2500)  -0.03
Si (0.4685, 0.8750, 0.2500)  -0.03
Si (0.6250, 0.5315, 0.7500)  -0.03
Cr (0.7500, 0.2500, 0.5000)  2.86
Cr (0.5000, 0.5000, 0.0000)  2.86
Sn (0.2500, 0.7500, 0.5000)  -0.04
Sn (0.0000, 0.0000, 0.0000)  -0.04


Entry 6:
The following is a DFT calculation (SCAN) of a PBEsol-optimized structure of Sr3CrSi.

Unit cell a=5.6526 b=5.6526 c=5.6526 alpha=90.00 beta=90.00 gamma=90.00
Each line ends with the local moment (μB).
Atoms (fractional coordinates):
Sr (0.0000, 0.5000, 0.0000)  0.02
Sr (0.5000, 0.0000, 0.0000)  0.02
Sr (0.0000, 0.0000, 0.5000)  0.02
Si (0.5000, 0.5000, 0.5000)  0.08
Cr (0.0000, 0.0000, 0.0000)  3.88


Entry 7:
The following is a DFT calculation (SCAN) of a PBEsol-optimized structure of TaCrSi.

Unit cell a=3.1279 b=3.1279 c=4.7523 alpha=109.21 beta=109.21 gamma=90.00
Atoms (fractional coordinates):
Ta (0.6618, 0.6618, 0.3235)
Si (0.3462, 0.3462, 0.6925)
Cr (0.9920, 0.9920, 0.9840)


Entry 8:
The following is a DFT calculation (SCAN) of a PBEsol-optimized structure of Ta2CrSi.

Unit cell a=3.1794 b=4.2677 c=5.1039 alpha=114.73 beta=108.15 gamma=90.00
Atoms (fractional coordinates):
Si (0.2286, 0.7286, 0.4573)
Ta (0.0053, 0.0054, 0.0107)
Ta (0.7673, 0.2673, 0.5346)
Cr (0.4988, 0.4987, 0.9974)


Entry 9:
The following is a DFT calculation (SCAN) of a PBEsol-optimized structure of Ta2CrSi.

Unit cell a=4.3628 b=4.3628 c=4.3628 alpha=60.00 beta=60.00 gamma=60.00
Atoms (fractional coordinates):
Si (0.7500, 0.7500, 0.7500)
Ta (0.0000, 0.0000, 0.0000)
Ta (0.2500, 0.2500, 0.2500)
Cr (0.5000, 0.5000, 0.5000)


Entry 10:
The following is a DFT calculation (SCAN) of a PBEsol-optimized structure of CrSiTc2.

Unit cell a=2.9781 b=4.0130 c=4.9015 alpha=114.17 beta=107.69 gamma=90.00
Atoms (fractional coordinates):
Tc (0.9949, 0.4949, 0.9899)
Tc (0.7541, 0.7541, 0.5083)
Si (0.2448, 0.2448, 0.4897)
Cr (0.5061, 0.0061, 0.0122)


Entry 11:
The following is a DFT calculation (SCAN) of a PBEsol-optimized structure of Cr2SiTc.

Unit cell a=2.6603 b=3.7982 c=4.8320 alpha=90.00 beta=90.00 gamma=90.00
Atoms (fractional coordinates):
Tc (0.5000, 0.5000, 0.5000)
Cr (0.0000, 0.0000, 0.7708)
Cr (0.0000, 0.0000, 0.2292)
Si (0.5000, 0.5000, 0.0000)


Entry 12:
The following is a DFT calculation (SCAN) of a PBEsol-optimized structure of Cr2SiTc.

Unit cell a=2.6333 b=3.9311 c=4.8320 alpha=90.00 beta=105.36 gamma=90.00
Atoms (fractional coordinates):
Cr (0.7981, 0.5000, 0.2539)
Cr (0.9560, 0.0000, 0.0069)
Si (0.5239, 0.0000, 0.4906)
Tc (0.2220, 0.5000, 0.7486)


| no. | uncorrected formation energy (eV per atom) |
| --- | --- |
| 1 | -0.0318 |
| 2 | -0.1344 |
| 3 | -0.2701 |
| 4 | 1.6395 |
| 5 | 0.4218 |
| 6 | 0.7559 |
| 7 | -0.1420 |
| 8 | -0.1543 |
| 9 | 0.0706 |
| 10 | -0.3341 |
| 11 | -0.0679 |
| 12 | -0.1130 |